Record 1
The following is a SCAN calculation of Zr5Ni at its PBEsol-relaxed geometry, from Alexandria.

Values from the calculation:
V = 20.0 A^3/atom
energy above the most stable polymorph in this dataset = 0.004 eV per atom
N(E_F) = 0.9378 states/eV/atom

The structure in CIF format:
```
data_Zr5Ni
_chemical_formula_sum 'Zr5 Ni1'
_space_group_name_H-M_alt 'P 4/m m m'
_space_group_IT_number 123
_space_group_name_Hall '-P 4 2'
_cell_length_a 3.173
_cell_length_b 3.173
_cell_length_c 11.946
_cell_angle_alpha 90.00
_cell_angle_beta 90.00
_cell_angle_gamma 90.00
loop_
_atom_site_label
_atom_site_type_symbol
_atom_site_fract_x
_atom_site_fract_y
_atom_site_fract_z
Zr1 Zr 0.000 0.000 0.000
Zr2 Zr 0.000 0.000 0.367
Zr3 Zr 0.500 0.500 0.185
Ni1 Ni 0.500 0.500 0.500
```

=====

Record 2
The following is a SCAN calculation of YRu3 at its PBEsol-relaxed geometry, from Alexandria.

Values from the calculation:
V = 15.8 A^3/atom
N(E_F) = 1.5496 states/eV/atom

The structure in CIF format:
```
data_YRu3
_chemical_formula_sum 'Y1 Ru3'
_space_group_name_H-M_alt 'P m -3 m'
_space_group_IT_number 221
_space_group_name_Hall '-P 4 2 3'
_cell_length_a 3.982
_cell_length_b 3.982
_cell_length_c 3.982
_cell_angle_alpha 90.00
_cell_angle_beta 90.00
_cell_angle_gamma 90.00
loop_
_atom_site_label
_atom_site_type_symbol
_atom_site_fract_x
_atom_site_fract_y
_atom_site_fract_z
Y1 Y 0.000 0.000 0.000
Ru1 Ru 0.000 0.500 0.500
```

=====

Record 3
The following is a SCAN calculation of Ru5Rh at its PBEsol-relaxed geometry, from Alexandria.

Values from the calculation:
V = 13.3 A^3/atom
energy above the most stable polymorph in this dataset = 0.006 eV per atom
N(E_F) = 0.7666 states/eV/atom

The structure in CIF format:
```
data_Ru5Rh
_chemical_formula_sum 'Ru10 Rh2'
_space_group_name_H-M_alt 'C 1 m 1'
_space_group_IT_number 8
_space_group_name_Hall 'C -2y'
_cell_length_a 9.699
_cell_length_b 2.686
_cell_length_c 6.307
_cell_angle_alpha 90.00
_cell_angle_beta 103.77
_cell_angle_gamma 90.00
loop_
_atom_site_label
_atom_site_type_symbol
_atom_site_fract_x
_atom_site_fract_y
_atom_site_fract_z
Ru1 Ru 0.000 0.000 0.000
Ru2 Ru 0.055 0.000 0.615
Ru3 Ru 0.223 0.500 0.947
Ru4 Ru 0.335 0.000 0.672
Ru5 Ru 0.391 0.000 0.280
Rh1 Rh 0.168 0.500 0.336
```

=====

Record 4
The following is a SCAN calculation of Zn2Ga2Bi at its PBEsol-relaxed geometry, from Alexandria.

Values from the calculation:
V = 19.2 A^3/atom
energy above the most stable polymorph in this dataset = 0.000 eV per atom
N(E_F) = 0.3809 states/eV/atom

The structure in CIF format:
```
data_Zn2Ga2Bi
_chemical_formula_sum 'Zn4 Ga4 Bi2'
_space_group_name_H-M_alt 'I 4/m m m'
_space_group_IT_number 139
_space_group_name_Hall '-I 4 2'
_cell_length_a 4.095
_cell_length_b 4.095
_cell_length_c 11.440
_cell_angle_alpha 90.00
_cell_angle_beta 90.00
_cell_angle_gamma 90.00
loop_
_atom_site_label
_atom_site_type_symbol
_atom_site_fract_x
_atom_site_fract_y
_atom_site_fract_z
Zn1 Zn 0.000 0.500 0.250
Ga1 Ga 0.000 0.000 0.110
Bi1 Bi 0.000 0.000 0.500
```

=====

Record 5
The following is a SCAN calculation of LaFePb2 at its PBEsol-relaxed geometry, from Alexandria.

Values from the calculation:
V = 24.9 A^3/atom
energy above the most stable polymorph in this dataset = 0.197 eV per atom
N(E_F) = 0.6751 states/eV/atom

The structure in CIF format:
```
data_LaFePb2
_chemical_formula_sum 'La2 Fe2 Pb4'
_space_group_name_H-M_alt 'A m m 2'
_space_group_IT_number 38
_space_group_name_Hall 'A 2 -2'
_cell_length_a 3.620
_cell_length_b 4.732
_cell_length_c 11.622
_cell_angle_alpha 90.00
_cell_angle_beta 90.00
_cell_angle_gamma 90.00
loop_
_atom_site_label
_atom_site_type_symbol
_atom_site_fract_x
_atom_site_fract_y
_atom_site_fract_z
La1 La 0.000 0.000 0.000
Fe1 Fe 0.500 0.000 0.531
Pb1 Pb 0.000 0.000 0.706
Pb2 Pb 0.500 0.000 0.306
```

=====

Record 6
The following is a SCAN calculation of Ba2HgP2 at its PBEsol-relaxed geometry, from Alexandria.

Values from the calculation:
V = 32.3 A^3/atom
N(E_F) = 0.4800 states/eV/atom

The structure in CIF format:
```
data_Ba2HgP2
_chemical_formula_sum 'Ba4 Hg2 P4'
_space_group_name_H-M_alt 'I 4/m m m'
_space_group_IT_number 139
_space_group_name_Hall '-I 4 2'
_cell_length_a 5.914
_cell_length_b 5.914
_cell_length_c 9.231
_cell_angle_alpha 90.00
_cell_angle_beta 90.00
_cell_angle_gamma 90.00
loop_
_atom_site_label
_atom_site_type_symbol
_atom_site_fract_x
_atom_site_fract_y
_atom_site_fract_z
Ba1 Ba 0.000 0.500 0.250
Hg1 Hg 0.000 0.000 0.000
P1 P 0.000 0.000 0.380
```

=====

Sequential E_form output: -0.113, 0.217, 0.005, 0.125, -0.007, -0.692 eV/atom